This record from the Alexandria database describes Zn3Rh after structural relaxation. The functional is PBE.

Structure (CIF):
```
data_Zn3Rh
_symmetry_space_group_name_H-M 'P 4/m m m'
_symmetry_Int_Tables_number 123
_symmetry_space_group_name_Hall '-P 4 2'
_cell_length_a 3.218
_cell_length_b 3.218
_cell_length_c 5.532
_cell_angle_alpha 90.00
_cell_angle_beta 90.00
_cell_angle_gamma 90.00
loop_
_atom_site_label
_atom_site_type_symbol
_atom_site_fract_x
_atom_site_fract_y
_atom_site_fract_z
_atom_site_occupancy
Zn1 Zn 0.000 0.000 0.000 1
Zn2 Zn 0.500 0.500 0.259 1
Rh1 Rh 0.000 0.000 0.500 1
```

Properties
formation energy: -5.5 kcal/mol of atoms
total energy: -3.03 eV per atom
size of the total moment: 0.0 μB per formula unit